# 1
HgBOs | PBE | optimized geometry

Summary:
**VASP energy**: -5.09 eV/atom
**Symmetry**: No. 216
**E above lowest polymorph**: 0 meV/atom
**Magnetization**: 0.0 μB per cell

The structure in CIF format:
```
data_HgBOs
_cell_length_a 5.555
_cell_length_b 5.555
_cell_length_c 5.555
_cell_angle_alpha 90.00
_cell_angle_beta 90.00
_cell_angle_gamma 90.00
_space_group_name_H-M_alt 'P 1'
_space_group_IT_number 1
_space_group_name_Hall 'P 1'
loop_
_atom_site_label
_atom_site_fract_x
_atom_site_fract_y
_atom_site_fract_z
Hg1 0.000 0.000 0.000
Hg2 0.000 0.500 0.500
Hg3 0.500 0.000 0.500
Hg4 0.500 0.500 0.000
B1 0.250 0.250 0.250
B2 0.250 0.750 0.750
B3 0.750 0.250 0.750
B4 0.750 0.750 0.250
Os1 0.000 0.000 0.500
Os2 0.000 0.500 0.000
Os3 0.500 0.000 0.000
Os4 0.500 0.500 0.500
```

=====

# 2
PaHgB | PBE | optimized geometry

Summary:
**VASP energy**: -5.05 eV/atom
**Symmetry**: No. 216
**E above lowest polymorph**: 0 meV/atom
**Magnetization**: 0.4 μB per cell

The structure in CIF format:
```
data_PaHgB
_cell_length_a 6.213
_cell_length_b 6.213
_cell_length_c 6.213
_cell_angle_alpha 90.00
_cell_angle_beta 90.00
_cell_angle_gamma 90.00
_space_group_name_H-M_alt 'P 1'
_space_group_IT_number 1
_space_group_name_Hall 'P 1'
loop_
_atom_site_label
_atom_site_fract_x
_atom_site_fract_y
_atom_site_fract_z
Pa1 0.000 0.000 0.000
Pa2 0.000 0.500 0.500
Pa3 0.500 0.000 0.500
Pa4 0.500 0.500 0.000
Hg1 0.000 0.000 0.500
Hg2 0.000 0.500 0.000
Hg3 0.500 0.000 0.000
Hg4 0.500 0.500 0.500
B1 0.250 0.250 0.750
B2 0.250 0.750 0.250
B3 0.750 0.250 0.250
B4 0.750 0.750 0.750
```

=====

# 3
PaHgB | PBE | optimized geometry

Summary:
**VASP energy**: -4.30 eV/atom
**Symmetry**: No. 216
**E above lowest polymorph**: 746 meV/atom
**Magnetization**: 0.1 μB per cell

The structure in CIF format:
```
data_PaHgB
_cell_length_a 6.465
_cell_length_b 6.465
_cell_length_c 6.465
_cell_angle_alpha 90.00
_cell_angle_beta 90.00
_cell_angle_gamma 90.00
_space_group_name_H-M_alt 'P 1'
_space_group_IT_number 1
_space_group_name_Hall 'P 1'
loop_
_atom_site_label
_atom_site_fract_x
_atom_site_fract_y
_atom_site_fract_z
Pa1 0.000 0.000 0.000
Pa2 0.000 0.500 0.500
Pa3 0.500 0.000 0.500
Pa4 0.500 0.500 0.000
Hg1 0.250 0.250 0.750
Hg2 0.250 0.750 0.250
Hg3 0.750 0.250 0.250
Hg4 0.750 0.750 0.750
B1 0.000 0.000 0.500
B2 0.000 0.500 0.000
B3 0.500 0.000 0.000
B4 0.500 0.500 0.500
```

=====

# 4
PaHgB | PBE | optimized geometry

Summary:
**VASP energy**: -4.45 eV/atom
**Symmetry**: No. 216
**E above lowest polymorph**: 603 meV/atom
**Magnetization**: 0.1 μB per cell

The structure in CIF format:
```
data_PaHgB
_cell_length_a 6.575
_cell_length_b 6.575
_cell_length_c 6.575
_cell_angle_alpha 90.00
_cell_angle_beta 90.00
_cell_angle_gamma 90.00
_space_group_name_H-M_alt 'P 1'
_space_group_IT_number 1
_space_group_name_Hall 'P 1'
loop_
_atom_site_label
_atom_site_fract_x
_atom_site_fract_y
_atom_site_fract_z
Pa1 0.000 0.000 0.000
Pa2 0.000 0.500 0.500
Pa3 0.500 0.000 0.500
Pa4 0.500 0.500 0.000
Hg1 0.250 0.250 0.250
Hg2 0.250 0.750 0.750
Hg3 0.750 0.250 0.750
Hg4 0.750 0.750 0.250
B1 0.250 0.250 0.750
B2 0.250 0.750 0.250
B3 0.750 0.250 0.250
B4 0.750 0.750 0.750
```

=====

Copy entry 1 word for word.
HgBOs | PBE | optimized geometry

Summary:
**VASP energy**: -5.09 eV/atom
**Symmetry**: No. 216
**E above lowest polymorph**: 0 meV/atom
**Magnetization**: 0.0 μB per cell

The structure in CIF format:
```
data_HgBOs
_cell_length_a 5.555
_cell_length_b 5.555
_cell_length_c 5.555
_cell_angle_alpha 90.00
_cell_angle_beta 90.00
_cell_angle_gamma 90.00
_space_group_name_H-M_alt 'P 1'
_space_group_IT_number 1
_space_group_name_Hall 'P 1'
loop_
_atom_site_label
_atom_site_fract_x
_atom_site_fract_y
_atom_site_fract_z
Hg1 0.000 0.000 0.000
Hg2 0.000 0.500 0.500
Hg3 0.500 0.000 0.500
Hg4 0.500 0.500 0.000
B1 0.250 0.250 0.250
B2 0.250 0.750 0.750
B3 0.750 0.250 0.750
B4 0.750 0.750 0.250
Os1 0.000 0.000 0.500
Os2 0.000 0.500 0.000
Os3 0.500 0.000 0.000
Os4 0.500 0.500 0.500
```